A geometry-optimized TaMnF2 structure, computed with GGA+U.

The crystal system is tetragonal. Its energy above the most stable polymorph in this dataset is 1460 meV per atom. The value obtained for the density is 8.28 g cm⁻³. Its total magnetic moment is 0.000 μB per atom.

Cell lengths 4.9034, 4.9034, 5.7374 Å; angles 64.70, 64.70, 90.00 degrees
Last column: nearest neighbours and their distance in Å.
Atoms (fractional coordinates):
F  0.5857  0.1250  0.2500  2 Mn 1.97, 2 Ta 2.20
F  0.1643  0.6250  0.2500  2 Mn 1.97, 2 Ta 2.20
F  0.3750  0.4143  0.7500  2 Mn 1.97, 2 Ta 2.20
F  0.8750  0.8357  0.7500  2 Mn 1.97, 2 Ta 2.20
Mn  0.5000  0.5000  0.0000  4 F 1.97
Mn  0.2500  0.7500  0.5000  4 F 1.97
Ta  0.0000  0.0000  0.0000  4 F 2.20
Ta  0.7500  0.2500  0.5000  4 F 2.20